(1)
Entry from the Alexandria database: a geometry-optimized NaScSnPb structure (PBE).

Energy of formation = -0.206 eV per atom
Symmetry = F-43m (216)

```
data_NaScSnPb
_symmetry_space_group_name_H-M 'P 1'
_symmetry_Int_Tables_number 1
_cell_length_a 5.233
_cell_length_b 5.233
_cell_length_c 5.233
_cell_angle_alpha 60.00
_cell_angle_beta 60.00
_cell_angle_gamma 60.00
loop_
_symmetry_equiv_pos_as_xyz
'x,y,z'
loop_
_atom_site_label
_atom_site_type_symbol
_atom_site_fract_x
_atom_site_fract_y
_atom_site_fract_z
Na1 Na 0.000 0.000 0.000
Sc1 Sc 0.500 0.500 0.500
Sn1 Sn 0.250 0.250 0.250
Pb1 Pb 0.750 0.750 0.750
```

---

(2)
Entry from the Alexandria database: a geometry-optimized NaSr2ScPb structure (PBE).

Energy of formation = 0.299 eV per atom
Symmetry = P4/mmm (123)

```
data_NaSr2ScPb
_symmetry_space_group_name_H-M 'P 1'
_symmetry_Int_Tables_number 1
_cell_length_a 6.414
_cell_length_b 6.414
_cell_length_c 5.618
_cell_angle_alpha 90.00
_cell_angle_beta 90.00
_cell_angle_gamma 90.00
loop_
_symmetry_equiv_pos_as_xyz
'x,y,z'
loop_
_atom_site_label
_atom_site_type_symbol
_atom_site_fract_x
_atom_site_fract_y
_atom_site_fract_z
Na1 Na 0.000 0.000 0.000
Sr1 Sr 0.000 0.500 0.500
Sr2 Sr 0.500 0.000 0.500
Sc1 Sc 0.500 0.500 0.500
Pb1 Pb 0.500 0.500 0.000
```

---

(3)
Entry from the Alexandria database: a geometry-optimized Na4Sc3Te8Pb structure (PBE).

Electronic total energy = -69.030 eV per cell
Symmetry = R-3m (166)

```
data_Na4Sc3Te8Pb
_symmetry_space_group_name_H-M 'P 1'
_symmetry_Int_Tables_number 1
_cell_length_a 9.061
_cell_length_b 9.061
_cell_length_c 9.061
_cell_angle_alpha 56.86
_cell_angle_beta 56.86
_cell_angle_gamma 56.86
loop_
_symmetry_equiv_pos_as_xyz
'x,y,z'
loop_
_atom_site_label
_atom_site_type_symbol
_atom_site_fract_x
_atom_site_fract_y
_atom_site_fract_z
Na1 Na 0.000 0.000 0.000
Na2 Na 0.000 0.500 0.500
Na3 Na 0.500 0.000 0.500
Na4 Na 0.500 0.500 0.000
Sc1 Sc 0.000 0.000 0.500
Sc2 Sc 0.000 0.500 0.000
Sc3 Sc 0.500 0.000 0.000
Te1 Te 0.223 0.751 0.751
Te2 Te 0.240 0.240 0.240
Te3 Te 0.249 0.249 0.777
Te4 Te 0.249 0.777 0.249
Te5 Te 0.751 0.223 0.751
Te6 Te 0.751 0.751 0.223
Te7 Te 0.760 0.760 0.760
Te8 Te 0.777 0.249 0.249
Pb1 Pb 0.500 0.500 0.500
```

---

(4)
Entry from the Alexandria database: a geometry-optimized NaScTlPb structure (PBE).

Energy of formation = -0.152 eV per atom
Symmetry = F-43m (216)

```
data_NaScTlPb
_symmetry_space_group_name_H-M 'P 1'
_symmetry_Int_Tables_number 1
_cell_length_a 5.252
_cell_length_b 5.252
_cell_length_c 5.252
_cell_angle_alpha 60.00
_cell_angle_beta 60.00
_cell_angle_gamma 60.00
loop_
_symmetry_equiv_pos_as_xyz
'x,y,z'
loop_
_atom_site_label
_atom_site_type_symbol
_atom_site_fract_x
_atom_site_fract_y
_atom_site_fract_z
Na1 Na 0.000 0.000 0.000
Sc1 Sc 0.500 0.500 0.500
Tl1 Tl 0.250 0.250 0.250
Pb1 Pb 0.750 0.750 0.750
```

---

(5)
Entry from the Alexandria database: a geometry-optimized NaScTlPb structure (PBE).

Energy of formation = -0.208 eV per atom
Symmetry = P4mm (99)

```
data_NaScTlPb
_symmetry_space_group_name_H-M 'P 1'
_symmetry_Int_Tables_number 1
_cell_length_a 3.453
_cell_length_b 3.453
_cell_length_c 8.782
_cell_angle_alpha 90.00
_cell_angle_beta 90.00
_cell_angle_gamma 90.00
loop_
_symmetry_equiv_pos_as_xyz
'x,y,z'
loop_
_atom_site_label
_atom_site_type_symbol
_atom_site_fract_x
_atom_site_fract_y
_atom_site_fract_z
Na1 Na 0.000 0.000 0.000
Sc1 Sc 0.000 0.000 0.494
Tl1 Tl 0.500 0.500 0.263
Pb1 Pb 0.500 0.500 0.729
```

---

(6)
Entry from the Alexandria database: a geometry-optimized NaPb2Se structure (PBE).

Electronic total energy = -26.361 eV per cell
Symmetry = I-42d (122)

```
data_NaPb2Se
_symmetry_space_group_name_H-M 'P 1'
_symmetry_Int_Tables_number 1
_cell_length_a 7.137
_cell_length_b 7.137
_cell_length_c 7.137
_cell_angle_alpha 100.73
_cell_angle_beta 100.73
_cell_angle_gamma 128.87
loop_
_symmetry_equiv_pos_as_xyz
'x,y,z'
loop_
_atom_site_label
_atom_site_type_symbol
_atom_site_fract_x
_atom_site_fract_y
_atom_site_fract_z
Na1 Na 0.000 0.000 0.000
Na2 Na 0.750 0.250 0.500
Pb1 Pb 0.177 0.625 0.052
Pb2 Pb 0.375 0.427 0.552
Pb3 Pb 0.573 0.125 0.948
Pb4 Pb 0.875 0.823 0.448
Se1 Se 0.250 0.750 0.500
Se2 Se 0.500 0.500 0.000
```